The following is a PBE calculation of a relaxed Nd2Ni2Hg crystal, from Alexandria.

```
data_Nd2Ni2Hg
_chemical_formula_sum 'Nd4 Ni4 Hg2'
_cell_length_a 3.996
_cell_length_b 14.226
_cell_length_c 3.886
_cell_angle_alpha 90.00
_cell_angle_beta 90.00
_cell_angle_gamma 90.00
_symmetry_space_group_name_H-M 'C m m m'
_symmetry_Int_Tables_number 65
_symmetry_space_group_name_Hall '-C 2 2'
loop_
_atom_site_label
_atom_site_type_symbol
_atom_site_fract_x
_atom_site_fract_y
_atom_site_fract_z
Nd1 Nd 0.000 0.135 0.000
Ni1 Ni 0.000 0.298 0.500
Hg1 Hg 0.000 0.500 0.500
```


The following is a PBE calculation of a relaxed Nd5Ni2Hg crystal, from Alexandria.

```
data_Nd5Ni2Hg
_chemical_formula_sum 'Nd20 Ni8 Hg4'
_cell_length_a 7.985
_cell_length_b 7.985
_cell_length_c 13.402
_cell_angle_alpha 90.00
_cell_angle_beta 90.00
_cell_angle_gamma 90.00
_symmetry_space_group_name_H-M 'I 4/m c m'
_symmetry_Int_Tables_number 140
_symmetry_space_group_name_Hall '-I 4 2c'
loop_
_atom_site_label
_atom_site_type_symbol
_atom_site_fract_x
_atom_site_fract_y
_atom_site_fract_z
Nd1 Nd 0.000 0.000 0.000
Nd2 Nd 0.161 0.339 0.137
Ni1 Ni 0.121 0.379 0.500
Hg1 Hg 0.000 0.000 0.250
```


The following is a PBE calculation of a relaxed Nd2NiHg crystal, from Alexandria.

```
data_Nd2NiHg
_chemical_formula_sum 'Nd6 Ni3 Hg3'
_cell_length_a 4.0062
_cell_length_b 4.0062
_cell_length_c 23.9238
_cell_angle_alpha 90.00
_cell_angle_beta 90.00
_cell_angle_gamma 120.00
_symmetry_space_group_name_H-M 'R -3 m'
_symmetry_Int_Tables_number 166
_symmetry_space_group_name_Hall '-R 3 2"'
loop_
_atom_site_label
_atom_site_type_symbol
_atom_site_fract_x
_atom_site_fract_y
_atom_site_fract_z
Nd1 Nd 0.0000 0.0000 0.2338
Ni1 Ni 0.0000 0.0000 0.5000
Hg1 Hg 0.0000 0.0000 0.0000
```

Summary:
- Energy relative to the lowest polymorph listed for this composition: 0.059 eV per atom


The following is a PBE calculation of a relaxed NdNiHg crystal, from Alexandria.

```
data_NdNiHg
_chemical_formula_sum 'Nd1 Ni1 Hg1'
_cell_length_a 4.5485
_cell_length_b 4.5485
_cell_length_c 3.7812
_cell_angle_alpha 90.00
_cell_angle_beta 90.00
_cell_angle_gamma 120.00
_symmetry_space_group_name_H-M 'P -6 m 2'
_symmetry_Int_Tables_number 187
_symmetry_space_group_name_Hall 'P -6 2'
loop_
_atom_site_label
_atom_site_type_symbol
_atom_site_fract_x
_atom_site_fract_y
_atom_site_fract_z
Nd1 Nd 0.0000 0.0000 0.0000
Ni1 Ni 0.3333 0.6667 0.5000
Hg1 Hg 0.6667 0.3333 0.5000
```


The following is a PBE calculation of a relaxed NdNiHg crystal, from Alexandria.

```
data_NdNiHg
_chemical_formula_sum 'Nd4 Ni4 Hg4'
_cell_length_a 6.585
_cell_length_b 6.585
_cell_length_c 6.585
_cell_angle_alpha 90.00
_cell_angle_beta 90.00
_cell_angle_gamma 90.00
_symmetry_space_group_name_H-M 'F -4 3 m'
_symmetry_Int_Tables_number 216
_symmetry_space_group_name_Hall 'F -4 2 3'
loop_
_atom_site_label
_atom_site_type_symbol
_atom_site_fract_x
_atom_site_fract_y
_atom_site_fract_z
Nd1 Nd 0.000 0.000 0.000
Ni1 Ni 0.250 0.250 0.750
Hg1 Hg 0.000 0.000 0.500
```


The following is a PBE calculation of a relaxed NdNiHg crystal, from Alexandria.

```
data_NdNiHg
_chemical_formula_sum 'Nd4 Ni4 Hg4'
_cell_length_a 10.316
_cell_length_b 4.105
_cell_length_c 7.439
_cell_angle_alpha 90.00
_cell_angle_beta 123.81
_cell_angle_gamma 90.00
_symmetry_space_group_name_H-M 'C 1 2/m 1'
_symmetry_Int_Tables_number 12
loop_
_symmetry_equiv_pos_as_xyz
'x,y,z'
'-x,-y,-z'
'-x,y,-z'
'x,-y,z'
'x+1/2,y+1/2,z'
'-x+1/2,-y+1/2,-z'
'-x+1/2,y+1/2,-z'
'x+1/2,-y+1/2,z'
loop_
_atom_site_label
_atom_site_type_symbol
_atom_site_fract_x
_atom_site_fract_y
_atom_site_fract_z
Nd1 Nd 0.062 0.000 0.318
Ni1 Ni 0.131 0.500 0.657
Hg1 Hg 0.181 0.500 0.091
```


The following is a PBE calculation of a relaxed Nd4NiHg2 crystal, from Alexandria.

```
data_Nd4NiHg2
_chemical_formula_sum 'Nd8 Ni2 Hg4'
_cell_length_a 7.131
_cell_length_b 6.893
_cell_length_c 8.479
_cell_angle_alpha 90.00
_cell_angle_beta 110.15
_cell_angle_gamma 90.00
_symmetry_space_group_name_H-M 'P 1 21/m 1'
_symmetry_Int_Tables_number 11
loop_
_symmetry_equiv_pos_as_xyz
'x,y,z'
'-x,-y,-z'
'-x,y+1/2,-z'
'x,-y+1/2,z'
loop_
_atom_site_label
_atom_site_type_symbol
_atom_site_fract_x
_atom_site_fract_y
_atom_site_fract_z
Nd1 Nd 0.138 0.014 0.292
Nd2 Nd 0.312 0.250 0.923
Nd3 Nd 0.337 0.750 0.674
Ni1 Ni 0.061 0.250 0.571
Hg1 Hg 0.217 0.750 0.003
Hg2 Hg 0.458 0.250 0.612
```

Summary:
- Energy relative to the lowest polymorph listed for this composition: 0.000 eV per atom


The following is a PBE calculation of a relaxed Nd3NiHg crystal, from Alexandria.

```
data_Nd3NiHg
_chemical_formula_sum 'Nd12 Ni4 Hg4'
_cell_length_a 10.196
_cell_length_b 6.914
_cell_length_c 8.801
_cell_angle_alpha 90.00
_cell_angle_beta 113.37
_cell_angle_gamma 90.00
_symmetry_space_group_name_H-M 'P 1 21/c 1'
_symmetry_Int_Tables_number 14
loop_
_symmetry_equiv_pos_as_xyz
'x,y,z'
'-x,-y,-z'
'-x,y+1/2,-z+1/2'
'x,-y+1/2,z+1/2'
loop_
_atom_site_label
_atom_site_type_symbol
_atom_site_fract_x
_atom_site_fract_y
_atom_site_fract_z
Nd1 Nd 0.087 0.068 0.218
Nd2 Nd 0.347 0.165 0.624
Nd3 Nd 0.348 0.674 0.482
Ni1 Ni 0.408 0.037 0.347
Hg1 Hg 0.107 0.650 0.088
```

Summary:
- Energy relative to the lowest polymorph listed for this composition: 0.030 eV per atom


Values of calculated total energy, in order: -0.34579 -0.34835 -0.30793 -0.28673 -0.28488 -0.29435 -0.28861 -0.31667, all in Ry/atom.
Values of formation energy from the elements, in order: -425 -277 -285 -284 -259 -388 -290 -231, all in meV/atom.